[1]
Here is ScMnAs4 after structural relaxation from Alexandria via LeMat-Bulk. Energies are from PBE-GGA.

Calculated values
ΔH_f (0 K)   0.221 eV/atom
Crystal system   cubic

Unit cell a=5.5166 b=5.5166 c=5.5166 alpha=60.00 beta=60.00 gamma=60.00
Last column: nearest neighbours and their distance in Å.
Positions (direct):
Sc (0.0000, 0.0000, 0.0000)  12 As 3.24, 4 Mn 3.38
Mn (0.2500, 0.2500, 0.2500)  12 As 3.23, 4 Sc 3.38
As (0.1265, 0.6245, 0.6245)  6 As 2.75-2.77
As (0.6245, 0.1265, 0.6245)  6 As 2.75-2.77
As (0.6245, 0.6245, 0.1265)  6 As 2.75-2.77
As (0.6245, 0.6245, 0.6245)  6 As 2.75-2.77

=====

[2]
Here is Sc2Mn2As after structural relaxation from Alexandria via LeMat-Bulk. Energies are from PBE-GGA.

Calculated values
ΔH_f (0 K)   -0.263 eV/atom
Crystal system   tetragonal

Unit cell a=6.2006 b=6.2006 c=4.2158 alpha=90.00 beta=90.00 gamma=90.00
Last column: nearest neighbours and their distance in Å.
Positions (direct):
Sc (0.1755, 0.3245, 0.0000)  6 Mn 2.77-2.81, 1 Sc 3.08
Sc (0.3245, 0.8245, 0.0000)  6 Mn 2.77-2.81, 1 Sc 3.08
Sc (0.6755, 0.1755, 0.0000)  6 Mn 2.77-2.81, 1 Sc 3.08
Sc (0.8245, 0.6755, 0.0000)  6 Mn 2.77-2.81, 1 Sc 3.08
Mn (0.1200, 0.6200, 0.5000)  1 Mn 2.10
Mn (0.3800, 0.1200, 0.5000)  1 Mn 2.10
Mn (0.6200, 0.8800, 0.5000)  1 Mn 2.10
Mn (0.8800, 0.3800, 0.5000)  1 Mn 2.10
As (0.0000, 0.0000, 0.5000)  4 Mn 2.47
As (0.5000, 0.5000, 0.5000)  4 Mn 2.47